Below is a relaxed structure of Cu2WAuBr, with properties calculated at the PBE level.

Properties
As for the calculated total energy: -3.7390 eV per atom.

abc: 4.504 4.504 4.669
angles: 90.00 90.00 90.00
Space group P4/mmm (No. 123)
Inequivalent atoms, fractional coordinates:
Cu1 0.000 0.500 0.000 (multiplicity 2)
W1 0.000 0.000 0.500 (multiplicity 1)
Au1 0.500 0.500 0.500 (multiplicity 1)
Br1 0.000 0.000 0.000 (multiplicity 1)

---

Below is a relaxed structure of Dy2AuBr, with properties calculated at the PBE level.

Properties
As for the calculated total energy: -4.4517 eV per atom. Its energy above the most stable polymorph in this dataset is 0.000 eV/f.u.

abc: 4.0313 4.0313 23.7616
angles: 90.00 90.00 120.00
Space group R3m (No. 160, hexagonal axes)
Inequivalent atoms, fractional coordinates:
Dy1 0.0000 0.0000 0.0000 (multiplicity 3)
Dy2 0.0000 0.0000 0.1929 (multiplicity 3)
Au1 0.0000 0.0000 0.5959 (multiplicity 3)
Br1 0.0000 0.0000 0.7664 (multiplicity 3)

---

Below is a relaxed structure of DyAuBr, with properties calculated at the PBE level.

Properties
As for the calculated total energy: -4.2489 eV per atom.

abc: 5.675 4.216 7.066
angles: 90.00 91.47 90.00
Space group P2_1/m (No. 11)
Inequivalent atoms, fractional coordinates:
Dy1 0.122 0.250 0.292 (multiplicity 2)
Au1 0.331 0.750 0.525 (multiplicity 2)
Br1 0.248 0.750 0.019 (multiplicity 2)

---

Below is a relaxed structure of DyAu2Br6, with properties calculated at the PBE level.

Properties
As for the calculated total energy: -3.1665 eV per atom.

abc: 13.819 13.681 7.804
angles: 90.00 110.02 90.00
Space group C2/c (No. 15)
Inequivalent atoms, fractional coordinates:
Dy1 0.000 0.064 0.250 (multiplicity 4)
Au1 0.214 0.429 0.790 (multiplicity 8)
Br1 0.094 0.093 0.631 (multiplicity 8)
Br2 0.108 0.475 0.425 (multiplicity 8)
Br3 0.159 0.193 0.242 (multiplicity 8)

---

Below is a relaxed structure of Dy2AuBr2, with properties calculated at the PBE level.

Properties
As for the calculated total energy: -4.4922 eV per atom.

abc: 3.9646 3.9646 34.0026
angles: 90.00 90.00 120.00
Space group R-3m (No. 166, hexagonal axes)
Inequivalent atoms, fractional coordinates:
Dy1 0.0000 0.0000 0.1127 (multiplicity 6)
Au1 0.0000 0.0000 0.5000 (multiplicity 3)
Br1 0.0000 0.0000 0.2759 (multiplicity 6)

---

Below is a relaxed structure of Dy2AuBr, with properties calculated at the PBE level.

Properties
As for the calculated total energy: -4.4163 eV per atom. Its energy above the most stable polymorph in this dataset is 0.141 eV/f.u.

abc: 4.4264 4.4264 25.0069
angles: 90.00 90.00 120.00
Space group R-3m (No. 166, hexagonal axes)
Inequivalent atoms, fractional coordinates:
Dy1 0.0000 0.0000 0.1124 (multiplicity 6)
Au1 0.0000 0.0000 0.5000 (multiplicity 3)
Br1 0.0000 0.0000 0.0000 (multiplicity 3)

---

Below is a relaxed structure of K2DyAuBr6, with properties calculated at the PBE level.

Properties
As for the calculated total energy: -3.4739 eV per atom.

abc: 7.839 8.199 8.460
angles: 61.28 65.33 61.50
Space group P1 (No. 1)
Inequivalent atoms, fractional coordinates:
K1 0.000 0.000 0.000 (multiplicity 1)
K2 0.456 0.476 0.577 (multiplicity 1)
Dy1 0.787 0.775 0.646 (multiplicity 1)
Au1 0.223 0.034 0.375 (multiplicity 1)
Br1 0.032 0.677 0.853 (multiplicity 1)
Br2 0.096 0.610 0.388 (multiplicity 1)
Br3 0.449 0.025 0.809 (multiplicity 1)
Br4 0.582 0.893 0.351 (multiplicity 1)
Br5 0.672 0.451 0.852 (multiplicity 1)
Br6 0.871 0.154 0.378 (multiplicity 1)

---

Below is a relaxed structure of Rb2DyAuBr6, with properties calculated at the PBE level.

Properties
As for the calculated total energy: -3.4106 eV per atom.

abc: 7.455 7.831 14.286
angles: 90.00 121.15 90.00
Space group P2_1/c (No. 14)
Inequivalent atoms, fractional coordinates:
Rb1 0.218 0.069 0.246 (multiplicity 4)
Dy1 0.000 0.000 0.500 (multiplicity 2)
Au1 0.500 0.000 0.000 (multiplicity 2)
Br1 0.171 0.189 0.971 (multiplicity 4)
Br2 0.262 0.692 0.955 (multiplicity 4)
Br3 0.292 0.506 0.224 (multiplicity 4)

---

Below is a relaxed structure of Rb2ErAuBr6, with properties calculated at the PBE level.

Properties
As for the calculated total energy: -3.4325 eV per atom.

abc: 7.802 7.857 8.057
angles: 110.47 104.89 109.80
Space group P-1 (No. 2)
Inequivalent atoms, fractional coordinates:
Rb1 0.239 0.009 0.272 (multiplicity 2)
Er1 0.000 0.500 0.500 (multiplicity 1)
Au1 0.500 0.500 0.000 (multiplicity 1)
Br1 0.196 0.325 0.694 (multiplicity 2)
Br2 0.199 0.891 0.811 (multiplicity 2)
Br3 0.287 0.609 0.361 (multiplicity 2)

---

Below is a relaxed structure of Eu3Au5Br12, with properties calculated at the PBE level.

Properties
As for the calculated total energy: -4.2060 eV per atom.

abc: 17.077 17.077 17.077
angles: 90.00 90.00 90.00
Space group Ia-3d (No. 230)
Inequivalent atoms, fractional coordinates:
Eu1 0.000 0.250 0.125 (multiplicity 24)
Au1 0.000 0.000 0.000 (multiplicity 16)
Au2 0.000 0.250 0.375 (multiplicity 24)
Br1 0.023 0.065 0.652 (multiplicity 96)

---

Below is a relaxed structure of Eu2AuBr, with properties calculated at the PBE level.

Properties
As for the calculated total energy: -7.5067 eV per atom. Its energy above the most stable polymorph in this dataset is 0.000 eV/f.u.

abc: 4.3168 4.3168 23.7587
angles: 90.00 90.00 120.00
Space group R-3m (No. 166, hexagonal axes)
Inequivalent atoms, fractional coordinates:
Eu1 0.0000 0.0000 0.2405 (multiplicity 6)
Au1 0.0000 0.0000 0.5000 (multiplicity 3)
Br1 0.0000 0.0000 0.0000 (multiplicity 3)

---

Below is a relaxed structure of Eu2AuBr, with properties calculated at the PBE level.

Properties
As for the calculated total energy: -7.4330 eV per atom. Its energy above the most stable polymorph in this dataset is 0.295 eV/f.u.

abc: 3.746 3.746 8.188
angles: 90.00 90.00 90.00
Space group P4/mmm (No. 123)
Inequivalent atoms, fractional coordinates:
Eu1 0.000 0.000 0.222 (multiplicity 2)
Au1 0.500 0.500 0.000 (multiplicity 1)
Br1 0.500 0.500 0.500 (multiplicity 1)

---

Below is a relaxed structure of EuAuBr, with properties calculated at the PBE level.

Properties
As for the calculated total energy: -6.2018 eV per atom.

abc: 7.287 7.287 7.287
angles: 90.00 90.00 90.00
Space group F-43m (No. 216)
Inequivalent atoms, fractional coordinates:
Eu1 0.000 0.000 0.000 (multiplicity 4)
Au1 0.250 0.250 0.750 (multiplicity 4)
Br1 0.250 0.250 0.250 (multiplicity 4)

---

Below is a relaxed structure of AuBrF, with properties calculated at the PBE level.

Properties
As for the calculated total energy: -2.8033 eV per atom. Its energy above the most stable polymorph in this dataset is 0.000 eV/f.u.

abc: 12.000 5.625 5.366
angles: 90.00 116.50 90.00
Space group C2/m (No. 12)
Inequivalent atoms, fractional coordinates:
Au1 0.119 0.000 0.368 (multiplicity 4)
Br1 0.110 0.000 0.860 (multiplicity 4)
F1 0.193 0.500 0.444 (multiplicity 4)

---

Below is a relaxed structure of AuBr2F, with properties calculated at the PBE level.

Properties
As for the calculated total energy: -1.9803 eV per atom. Its energy above the most stable polymorph in this dataset is 1.968 eV/f.u.

abc: 6.699 6.699 6.699
angles: 90.00 90.00 90.00
Space group Fm-3m (No. 225)
Inequivalent atoms, fractional coordinates:
Au1 0.000 0.000 0.000 (multiplicity 4)
Br1 0.250 0.250 0.250 (multiplicity 8)
F1 0.000 0.000 0.500 (multiplicity 4)

---

Below is a relaxed structure of Au2BrF, with properties calculated at the PBE level.

Properties
As for the calculated total energy: -2.5059 eV per atom. Its energy above the most stable polymorph in this dataset is 0.455 eV/f.u.

abc: 6.618 6.618 6.618
angles: 90.00 90.00 90.00
Space group Fm-3m (No. 225)
Inequivalent atoms, fractional coordinates:
Au1 0.250 0.250 0.250 (multiplicity 8)
Br1 0.000 0.000 0.000 (multiplicity 4)
F1 0.000 0.000 0.500 (multiplicity 4)

---

Below is a relaxed structure of AuBrF3, with properties calculated at the PBE level.

Properties
As for the calculated total energy: -2.8336 eV per atom. Its energy above the most stable polymorph in this dataset is 0.000 eV/f.u.

abc: 5.569 4.769 7.368
angles: 90.00 94.43 90.00
Space group P2_1 (No. 4)
Inequivalent atoms, fractional coordinates:
Au1 0.012 0.000 0.249 (multiplicity 2)
Br1 0.388 0.244 0.257 (multiplicity 2)
F1 0.140 0.808 0.893 (multiplicity 2)
F2 0.154 0.684 0.392 (multiplicity 2)
F3 0.318 0.330 0.750 (multiplicity 2)

---

Below is a relaxed structure of Au2Br6F, with properties calculated at the PBE level.

Properties
As for the calculated total energy: -2.1728 eV per atom.

abc: 14.758 7.018 15.044
angles: 90.00 119.24 90.00
Space group C2/c (No. 15)
Inequivalent atoms, fractional coordinates:
Au1 0.249 0.124 0.250 (multiplicity 8)
Br1 0.124 0.140 0.750 (multiplicity 8)
Br2 0.157 0.127 0.064 (multiplicity 8)
Br3 0.157 0.370 0.564 (multiplicity 8)
F1 0.000 0.058 0.250 (multiplicity 4)

---

Below is a relaxed structure of AuBr2F, with properties calculated at the PBE level.

Properties
As for the calculated total energy: -2.0454 eV per atom. Its energy above the most stable polymorph in this dataset is 1.707 eV/f.u.

abc: 3.8074 3.8074 24.7497
angles: 90.00 90.00 120.00
Space group R-3m (No. 166, hexagonal axes)
Inequivalent atoms, fractional coordinates:
Au1 0.0000 0.0000 0.0000 (multiplicity 3)
Br1 0.0000 0.0000 0.0953 (multiplicity 6)
F1 0.0000 0.0000 0.5000 (multiplicity 3)

---

Below is a relaxed structure of AuBrF3, with properties calculated at the PBE level.

Properties
As for the calculated total energy: -2.5377 eV per atom. Its energy above the most stable polymorph in this dataset is 1.480 eV/f.u.

abc: 4.369 4.369 4.369
angles: 90.00 90.00 90.00
Space group Pm-3m (No. 221)
Inequivalent atoms, fractional coordinates:
Au1 0.000 0.000 0.000 (multiplicity 1)
Br1 0.500 0.500 0.500 (multiplicity 1)
F1 0.000 0.000 0.500 (multiplicity 3)